[1]
Crystalline Sm4TlSb2Te at its relaxed geometry, computed with PBE-GGA.

a = 4.4138 Å, b = 7.6982 Å, c = 7.8498 Å
α = 71.18°, β = 90.00°, γ = 90.00°
Sites, in units of the cell vectors:
Sm  0.0000  0.7567  0.7451
Sm  0.0000  0.2433  0.2549
Sm  0.5000  0.7571  0.2466
Sm  0.5000  0.2429  0.7534
Tl  0.5000  0.5000  0.0000
Sb  0.0000  0.0000  0.0000
Sb  0.5000  0.0000  0.5000
Te  0.0000  0.5000  0.5000

Calculated values
N(E_F), states/eV per atom: 0.608
Crystal system: monoclinic
M_tot, μB/f.u.: 0.00
Formation energy from raw total energies, eV per atom: -1.01
Total energy, eV/atom: -5.092



[2]
Crystalline Ce12HgOs6 at its relaxed geometry, computed with PBE-GGA.

a = 8.5152 Å, b = 8.5152 Å, c = 8.5152 Å
α = 107.90°, β = 107.90°, γ = 107.90°
Site moments in Bohr magnetons follow the coordinates.
Sites, in units of the cell vectors:
Ce  0.8799  0.1201  0.5000  0.46
Ce  0.8439  0.5794  0.5794  0.48
Ce  0.5794  0.5794  0.8439  0.48
Ce  0.4206  0.1561  0.4206  0.48
Ce  0.4206  0.4206  0.1561  0.48
Ce  0.1561  0.4206  0.4206  0.48
Ce  0.1201  0.5000  0.8799  0.46
Ce  0.5000  0.8799  0.1201  0.46
Ce  0.1201  0.8799  0.5000  0.46
Ce  0.8799  0.5000  0.1201  0.46
Ce  0.5000  0.1201  0.8799  0.46
Ce  0.5794  0.8439  0.5794  0.48
Hg  0.0000  0.0000  0.0000  0.01
Os  0.6853  0.2650  0.2650  -0.07
Os  0.2650  0.2650  0.6853  -0.07
Os  0.2650  0.6853  0.2650  -0.07
Os  0.7350  0.7350  0.3147  -0.07
Os  0.3147  0.7350  0.7350  -0.07
Os  0.7350  0.3147  0.7350  -0.07

Calculated values
Energy of formation from the pure elements, meV/atom: -10
N(E_F), states/eV per atom: 2.415
Crystal system: trigonal
M_tot, μB/f.u.: 6.71
Total energy, eV/atom: -7.320



[3]
Crystalline K2Be2Ir at its relaxed geometry, computed with PBE-GGA.

a = 9.4820 Å, b = 9.4820 Å, c = 2.6031 Å
α = 90.00°, β = 90.00°, γ = 90.00°
Sites, in units of the cell vectors:
Be  0.0787  0.5787  0.5000
Be  0.5787  0.9213  0.5000
Be  0.9213  0.4213  0.5000
Be  0.4213  0.0787  0.5000
K  0.2928  0.7928  0.0000
K  0.7928  0.7072  0.0000
K  0.7072  0.2072  0.0000
K  0.2072  0.2928  0.0000
Ir  0.0000  0.0000  0.0000
Ir  0.5000  0.5000  0.0000

Calculated values
Energy of formation from the pure elements, meV/atom: 1346
N(E_F), states/eV per atom: 0.650
Crystal system: tetragonal
E above lowest polymorph, kJ per mole of atoms: 51.3
M_tot, μB/f.u.: 0.00
Total energy, eV/atom: -2.356



[4]
Crystalline CePrSm2 at its relaxed geometry, computed with PBE-GGA.

a = 3.6355 Å, b = 3.6355 Å, c = 11.5531 Å
α = 80.95°, β = 80.95°, γ = 60.00°
Sites, in units of the cell vectors:
Ce  0.5004  0.5004  0.4988
Pr  0.6667  0.6667  0.9999
Sm  0.0849  0.0849  0.7453
Sm  0.2480  0.2480  0.2560

Calculated values
Energy of formation from the pure elements, meV/atom: 85
N(E_F), states/eV per atom: 2.252
Crystal system: trigonal
E above lowest polymorph, kJ per mole of atoms: 2.2
M_tot, μB/f.u.: 0.00
Total energy, eV/atom: -4.953



[5]
Crystalline Ac6In5Hg at its relaxed geometry, computed with PBE-GGA.

a = 5.8143 Å, b = 8.1606 Å, c = 9.2011 Å
α = 90.00°, β = 71.58°, γ = 90.00°
Sites, in units of the cell vectors:
Ac  0.8340  0.7514  0.3320
Ac  0.8340  0.2486  0.3320
Ac  0.5000  0.2482  0.0000
Ac  0.5000  0.7518  0.0000
Ac  0.1660  0.7514  0.6680
Ac  0.1660  0.2486  0.6680
Hg  0.0000  0.0000  0.0000
In  0.6673  0.5000  0.6655
In  0.3344  0.0000  0.3312
In  0.0000  0.5000  0.0000
In  0.6656  0.0000  0.6688
In  0.3327  0.5000  0.3345

Calculated values
Energy of formation from the pure elements, meV/atom: -425
N(E_F), states/eV per atom: 1.119
Crystal system: orthorhombic
M_tot, μB/f.u.: 0.00
Total energy, eV/atom: -3.646



[6]
Crystalline Dy4HgTe at its relaxed geometry, computed with PBE-GGA.

a = 3.9501 Å, b = 8.5064 Å, c = 20.0937 Å
α = 90.00°, β = 90.00°, γ = 90.00°
Sites, in units of the cell vectors:
Dy  0.7500  0.8390  0.6582
Dy  0.2500  0.1610  0.3418
Dy  0.2500  0.6610  0.1582
Dy  0.7500  0.3390  0.8418
Dy  0.7500  0.8771  0.4347
Dy  0.2500  0.1229  0.5653
Dy  0.2500  0.6229  0.9347
Dy  0.7500  0.3771  0.0653
Dy  0.7500  0.9749  0.9264
Dy  0.2500  0.0251  0.0736
Dy  0.2500  0.5251  0.4264
Dy  0.7500  0.4749  0.5736
Dy  0.7500  0.9851  0.2182
Dy  0.2500  0.0149  0.7818
Dy  0.2500  0.5149  0.7182
Dy  0.7500  0.4851  0.2818
Hg  0.7500  0.2440  0.4537
Hg  0.2500  0.7560  0.5463
Hg  0.2500  0.2560  0.9537
Hg  0.7500  0.7440  0.0463
Te  0.7500  0.7162  0.8122
Te  0.2500  0.2838  0.1878
Te  0.2500  0.7838  0.3122
Te  0.7500  0.2162  0.6878

Calculated values
N(E_F), states/eV per atom: 1.016
Crystal system: orthorhombic
E above lowest polymorph, kJ per mole of atoms: 0.0
M_tot, μB/f.u.: 0.00
Formation energy from raw total energies, eV per atom: -0.58
Total energy, eV/atom: -4.224